First-principles (GGA-PBE) data for a geometry-optimized Pm4MgAg5 structure, as listed in the Alexandria database.

Output
E_form   -23.9 kJ/mol of atoms
VASP energy   -3.73 eV per atom

abc: 3.627 3.627 18.669
angles: 90.00 90.00 90.00
Atoms (fractional coordinates):
1 Pm 0.000 0.000 0.188
2 Pm 0.000 0.000 0.396
3 Pm 0.000 0.000 0.604
4 Pm 0.000 0.000 0.812
5 Mg 0.000 0.000 0.000
6 Ag 0.500 0.500 0.083
7 Ag 0.500 0.500 0.292
8 Ag 0.500 0.500 0.500
9 Ag 0.500 0.500 0.708
10 Ag 0.500 0.500 0.917